# Sr2CaZr | Alexandria via LeMat-Bulk | meta-GGA SCAN | single point on PBEsol structure
data_Sr2CaZr
_space_group_name_H-M_alt 'P 1'
_space_group_IT_number 1
_cell_length_a 3.6520
_cell_length_b 5.3734
_cell_length_c 7.5449
_cell_angle_alpha 90.00
_cell_angle_beta 90.00
_cell_angle_gamma 90.00
loop_
_space_group_symop_operation_xyz
'x,y,z'
loop_
_atom_site_label
_atom_site_fract_x
_atom_site_fract_y
_atom_site_fract_z
Sr1 0.0000 0.0000 0.2312
Sr2 0.0000 0.0000 0.7688
Ca1 0.5000 0.5000 0.5000
Zr1 0.5000 0.5000 0.0000
# Relative energy among the computed polymorphs, meV/atom: 53
# ΔE_f, eV/atom: 0.446
# Symmetry: Pmmm (47)
# Energy, eV per atom: -20.783
# Size of the total moment, Bohr magnetons per cell: 2.06


# Sr2CaZr | Alexandria via LeMat-Bulk | meta-GGA SCAN | single point on PBEsol structure
data_Sr2CaZr
_space_group_name_H-M_alt 'P 1'
_space_group_IT_number 1
_cell_length_a 3.6842
_cell_length_b 3.6842
_cell_length_c 10.8917
_cell_angle_alpha 90.00
_cell_angle_beta 90.00
_cell_angle_gamma 90.00
loop_
_space_group_symop_operation_xyz
'x,y,z'
loop_
_atom_site_label
_atom_site_fract_x
_atom_site_fract_y
_atom_site_fract_z
Sr1 0.0000 0.0000 0.0000
Sr2 0.5000 0.5000 0.3011
Ca1 0.5000 0.5000 0.7194
Zr1 0.0000 0.0000 0.5202
# Relative energy among the computed polymorphs, meV/atom: 0
# ΔE_f, eV/atom: 0.393
# Symmetry: P4mm (99)
# Energy, eV per atom: -20.835
# Size of the total moment, Bohr magnetons per cell: 0.04


# SrCaZr2 | Alexandria via LeMat-Bulk | meta-GGA SCAN | single point on PBEsol structure
data_SrCaZr2
_space_group_name_H-M_alt 'P 1'
_space_group_IT_number 1
_cell_length_a 6.8466
_cell_length_b 6.8466
_cell_length_c 6.8466
_cell_angle_alpha 152.01
_cell_angle_beta 126.57
_cell_angle_gamma 61.39
loop_
_space_group_symop_operation_xyz
'x,y,z'
loop_
_atom_site_label
_atom_site_fract_x
_atom_site_fract_y
_atom_site_fract_z
Sr1 0.0000 0.0000 0.0000
Ca1 0.7161 0.2161 0.5000
Zr1 0.2636 0.7636 0.5000
Zr2 0.4603 0.4603 0.0000
# Relative energy among the computed polymorphs, meV/atom: 208
# ΔE_f, eV/atom: 0.525
# Symmetry: Imm2 (44)
# Energy, eV per atom: -22.809
# Size of the total moment, Bohr magnetons per cell: 0.00


# SrCaZr | Alexandria via LeMat-Bulk | meta-GGA SCAN | single point on PBEsol structure
data_SrCaZr
_space_group_name_H-M_alt 'P 1'
_space_group_IT_number 1
_cell_length_a 3.5344
_cell_length_b 3.5344
_cell_length_c 9.0078
_cell_angle_alpha 90.00
_cell_angle_beta 90.00
_cell_angle_gamma 120.00
loop_
_space_group_symop_operation_xyz
'x,y,z'
loop_
_atom_site_label
_atom_site_fract_x
_atom_site_fract_y
_atom_site_fract_z
Sr1 0.0000 0.0000 0.0000
Ca1 0.6667 0.3333 0.3872
Zr1 0.3333 0.6667 0.6856
# Relative energy among the computed polymorphs, meV/atom: 0
# ΔE_f, eV/atom: 0.482
# Symmetry: P3m1 (156)
# Energy, eV per atom: -20.397
# Size of the total moment, Bohr magnetons per cell: 0.18


# Sr2CaZr | Alexandria via LeMat-Bulk | meta-GGA SCAN | single point on PBEsol structure
data_Sr2CaZr
_space_group_name_H-M_alt 'P 1'
_space_group_IT_number 1
_cell_length_a 6.4315
_cell_length_b 6.4315
_cell_length_c 6.4315
_cell_angle_alpha 130.84
_cell_angle_beta 130.84
_cell_angle_gamma 72.07
loop_
_space_group_symop_operation_xyz
'x,y,z'
loop_
_atom_site_label
_atom_site_fract_x
_atom_site_fract_y
_atom_site_fract_z
Sr1 0.0000 0.0000 0.0000
Sr2 0.7500 0.2500 0.5000
Ca1 0.2500 0.7500 0.5000
Zr1 0.5000 0.5000 0.0000
# Relative energy among the computed polymorphs, meV/atom: 67
# ΔE_f, eV/atom: 0.460
# Symmetry: I-4m2 (119)
# Energy, eV per atom: -20.768
# Size of the total moment, Bohr magnetons per cell: 2.82


# SrCa2Zr | Alexandria via LeMat-Bulk | meta-GGA SCAN | single point on PBEsol structure
data_SrCa2Zr
_space_group_name_H-M_alt 'P 1'
_space_group_IT_number 1
_cell_length_a 3.6114
_cell_length_b 3.6114
_cell_length_c 10.7243
_cell_angle_alpha 90.00
_cell_angle_beta 90.00
_cell_angle_gamma 90.00
loop_
_space_group_symop_operation_xyz
'x,y,z'
loop_
_atom_site_label
_atom_site_fract_x
_atom_site_fract_y
_atom_site_fract_z
Sr1 0.0000 0.0000 0.0000
Ca1 0.5000 0.5000 0.2918
Ca2 0.5000 0.5000 0.7082
Zr1 0.0000 0.0000 0.5000
# ΔE_f, eV/atom: 0.347
# Symmetry: P4/mmm (123)
# Energy, eV per atom: -17.728
# Size of the total moment, Bohr magnetons per cell: 0.07


# Sr2CaZr | Alexandria via LeMat-Bulk | meta-GGA SCAN | single point on PBEsol structure
data_Sr2CaZr
_space_group_name_H-M_alt 'P 1'
_space_group_IT_number 1
_cell_length_a 5.9087
_cell_length_b 5.9087
_cell_length_c 5.9087
_cell_angle_alpha 60.00
_cell_angle_beta 60.00
_cell_angle_gamma 60.00
loop_
_space_group_symop_operation_xyz
'x,y,z'
loop_
_atom_site_label
_atom_site_fract_x
_atom_site_fract_y
_atom_site_fract_z
Sr1 0.2500 0.2500 0.2500
Sr2 0.7500 0.7500 0.7500
Ca1 0.0000 0.0000 0.0000
Zr1 0.5000 0.5000 0.5000
# Relative energy among the computed polymorphs, meV/atom: 156
# ΔE_f, eV/atom: 0.548
# Symmetry: Fm-3m (225)
# Energy, eV per atom: -20.680
# Size of the total moment, Bohr magnetons per cell: 0.09


# SrCa4Zr | Alexandria via LeMat-Bulk | meta-GGA SCAN | single point on PBEsol structure
data_SrCa4Zr
_space_group_name_H-M_alt 'P 1'
_space_group_IT_number 1
_cell_length_a 6.8561
_cell_length_b 6.8561
_cell_length_c 6.8561
_cell_angle_alpha 60.00
_cell_angle_beta 60.00
_cell_angle_gamma 60.00
loop_
_space_group_symop_operation_xyz
'x,y,z'
loop_
_atom_site_label
_atom_site_fract_x
_atom_site_fract_y
_atom_site_fract_z
Sr1 0.0000 0.0000 0.0000
Ca1 0.1295 0.6235 0.6235
Ca2 0.6235 0.1295 0.6235
Ca3 0.6235 0.6235 0.1295
Ca4 0.6235 0.6235 0.6235
Zr1 0.2500 0.2500 0.2500
# ΔE_f, eV/atom: 0.467
# Symmetry: F-43m (216)
# Energy, eV per atom: -14.804
# Size of the total moment, Bohr magnetons per cell: 3.62


> Which of these has the highest energy?

SrCa4Zr